First-principles (PBE) data for crystalline AcPHPt6 at its relaxed geometry, as listed in the Alexandria database.

Cell lengths 7.7373, 7.7373, 7.7373 Å; angles 121.35, 120.33, 88.56 degrees
With the nearest neighbours (Å) after each atom.
Atoms (fractional coordinates):
1 Ac 0.4129 0.1629 0.2500  6 Pt 3.13-3.25
2 Ac 0.5871 0.8371 0.7500  6 Pt 3.13-3.25
3 P 0.0000 0.0000 0.5000  6 Pt 2.27-2.31
4 P 0.0000 0.5000 0.0000  6 Pt 2.27-2.31
5 H 0.0000 0.5000 0.5000  6 Pt 2.00-2.05
6 H 0.5000 0.5000 0.0000  6 Pt 2.00-2.05
7 Pt 0.0944 0.4166 0.2696  1 H 2.05, 1 P 2.27
8 Pt 0.0944 0.8248 0.6778  1 H 2.05, 1 P 2.27
9 Pt 0.1195 0.8695 0.2500  2 P 2.31
10 Pt 0.2998 0.5498 0.7500  2 H 2.00
11 Pt 0.3531 0.1752 0.7696  1 H 2.05, 1 P 2.27
12 Pt 0.3531 0.5834 0.1778  1 H 2.05, 1 P 2.27
13 Pt 0.6469 0.4166 0.8222  1 H 2.05, 1 P 2.27
14 Pt 0.6469 0.8248 0.2304  1 H 2.05, 1 P 2.27
15 Pt 0.7002 0.4502 0.2500  2 H 2.00
16 Pt 0.8805 0.1305 0.7500  2 P 2.31
17 Pt 0.9056 0.1752 0.3222  1 H 2.05, 1 P 2.27
18 Pt 0.9056 0.5834 0.7304  1 H 2.05, 1 P 2.27

Calculated values
As for the space-group type: Imma, No. 74. The total energy is -5.926 eV/atom.

First-principles (PBE) data for crystalline Ac6P2HS3 at its relaxed geometry, as listed in the Alexandria database.

Cell lengths 9.6159, 9.6159, 8.6295 Å; angles 103.23, 103.23, 26.24 degrees
With the nearest neighbours (Å) after each atom.
Atoms (fractional coordinates):
1 Ac 0.0017 0.0017 0.2457  1 P 3.00, 3 S 3.04-3.08, 2 H 3.10
2 Ac 0.3311 0.3311 0.9184  3 P 3.06-3.07, 3 S 3.07-3.09
3 Ac 0.3363 0.3363 0.4157  1 H 2.98, 3 S 3.02-3.08, 2 P 3.04
4 Ac 0.6637 0.6637 0.5843  1 H 2.98, 3 S 3.02-3.08, 2 P 3.04
5 Ac 0.6689 0.6689 0.0816  3 P 3.06-3.07, 3 S 3.07-3.09
6 Ac 0.9983 0.9983 0.7543  1 P 3.00, 3 S 3.04-3.08, 2 H 3.10
7 P 0.1630 0.1630 0.8295  6 Ac 3.00-3.07
8 P 0.8370 0.8370 0.1705  6 Ac 3.00-3.07
9 H 0.5000 0.5000 0.5000  6 Ac 2.98-3.10
10 S 0.1706 0.1706 0.3362  6 Ac 3.02-3.09
11 S 0.5000 0.5000 0.0000  6 Ac 3.04-3.07
12 S 0.8294 0.8294 0.6638  6 Ac 3.02-3.09

Calculated values
As for the space-group type: C2/m, No. 12. The total energy is -5.794 eV/atom.

First-principles (PBE) data for crystalline Ac8P3HSe4 at its relaxed geometry, as listed in the Alexandria database.

Cell lengths 8.8900, 8.8900, 8.8900 Å; angles 59.35, 59.35, 59.35 degrees
With the nearest neighbours (Å) after each atom.
Atoms (fractional coordinates):
1 Ac 0.2396 0.7486 0.7486  2 P 3.05, 1 H 3.11, 3 Se 3.15-3.20
2 Ac 0.2440 0.2440 0.2440  3 P 3.05, 3 Se 3.21
3 Ac 0.2514 0.2514 0.7604  2 P 3.05, 1 H 3.11, 3 Se 3.15-3.20
4 Ac 0.2514 0.7604 0.2514  2 P 3.05, 1 H 3.11, 3 Se 3.15-3.20
5 Ac 0.7486 0.2396 0.7486  2 P 3.05, 1 H 3.11, 3 Se 3.15-3.20
6 Ac 0.7486 0.7486 0.2396  2 P 3.05, 1 H 3.11, 3 Se 3.15-3.20
7 Ac 0.7560 0.7560 0.7560  3 P 3.05, 3 Se 3.21
8 Ac 0.7604 0.2514 0.2514  2 P 3.05, 1 H 3.11, 3 Se 3.15-3.20
9 P 0.0000 0.0000 0.5000  6 Ac 3.05
10 P 0.0000 0.5000 0.0000  6 Ac 3.05
11 P 0.5000 0.0000 0.0000  6 Ac 3.05
12 H 0.5000 0.5000 0.5000  6 Ac 3.11
13 Se 0.0000 0.0000 0.0000  6 Ac 3.15
14 Se 0.0000 0.5000 0.5000  6 Ac 3.20-3.21
15 Se 0.5000 0.0000 0.5000  6 Ac 3.20-3.21
16 Se 0.5000 0.5000 0.0000  6 Ac 3.20-3.21

Calculated values
As for the space-group type: R-3m, No. 166. The total energy is -5.685 eV/atom.

First-principles (PBE) data for crystalline Ac6P2HSe3 at its relaxed geometry, as listed in the Alexandria database.

Cell lengths 9.8365, 9.8365, 8.8985 Å; angles 104.13, 104.13, 25.78 degrees
With the nearest neighbours (Å) after each atom.
Atoms (fractional coordinates):
1 Ac 0.0015 0.0015 0.2423  1 P 3.01, 2 H 3.07, 3 Se 3.18-3.20
2 Ac 0.3287 0.3287 0.4254  3 P 3.06-3.07, 3 Se 3.18-3.19
3 Ac 0.3399 0.3399 0.9094  1 H 2.97, 2 P 3.06, 3 Se 3.15-3.20
4 Ac 0.6601 0.6601 0.0906  1 H 2.97, 2 P 3.06, 3 Se 3.15-3.20
5 Ac 0.6713 0.6713 0.5746  3 P 3.06-3.07, 3 Se 3.18-3.19
6 Ac 0.9985 0.9985 0.7577  1 P 3.01, 2 H 3.07, 3 Se 3.18-3.20
7 P 0.1636 0.1636 0.3313  6 Ac 3.01-3.07
8 P 0.8364 0.8364 0.6687  6 Ac 3.01-3.07
9 H 0.5000 0.5000 0.0000  6 Ac 2.97-3.07
10 Se 0.1706 0.1706 0.8350  6 Ac 3.15-3.20
11 Se 0.5000 0.5000 0.5000  6 Ac 3.18
12 Se 0.8294 0.8294 0.1650  6 Ac 3.15-3.20

Calculated values
As for the space-group type: C2/m, No. 12. The total energy is -5.571 eV/atom.

First-principles (PBE) data for crystalline Ac8Te4P3H at its relaxed geometry, as listed in the Alexandria database.

Cell lengths 9.2639, 9.2639, 9.2639 Å; angles 57.89, 57.89, 57.89 degrees
With the nearest neighbours (Å) after each atom.
Atoms (fractional coordinates):
1 Ac 0.2339 0.7425 0.7425  2 P 3.07, 1 H 3.12, 3 Te 3.34-3.39
2 Ac 0.2379 0.2379 0.2379  3 P 3.07, 3 Te 3.40
3 Ac 0.2575 0.2575 0.7661  2 P 3.07, 1 H 3.12, 3 Te 3.34-3.39
4 Ac 0.2575 0.7662 0.2575  2 P 3.07, 1 H 3.12, 3 Te 3.34-3.39
5 Ac 0.7425 0.2339 0.7425  2 P 3.07, 1 H 3.12, 3 Te 3.34-3.39
6 Ac 0.7425 0.7425 0.2339  2 P 3.07, 1 H 3.12, 3 Te 3.34-3.39
7 Ac 0.7621 0.7621 0.7621  3 P 3.07, 3 Te 3.40
8 Ac 0.7662 0.2575 0.2575  2 P 3.07, 1 H 3.12, 3 Te 3.34-3.39
9 Te 0.0000 0.0000 0.0000  6 Ac 3.34
10 Te 0.0000 0.5000 0.5000  6 Ac 3.39-3.40
11 Te 0.5000 0.0000 0.5000  6 Ac 3.39-3.40
12 Te 0.5000 0.5000 0.0000  6 Ac 3.39-3.40
13 P 0.0000 0.0000 0.5000  6 Ac 3.07
14 P 0.0000 0.5000 0.0000  6 Ac 3.07
15 P 0.5000 0.0000 0.0000  6 Ac 3.07
16 H 0.5000 0.5000 0.5000  6 Ac 3.12

Calculated values
As for the space-group type: R-3m, No. 166. The total energy is -5.409 eV/atom.

First-principles (PBE) data for crystalline AcPaH at its relaxed geometry, as listed in the Alexandria database.

Cell lengths 12.9585, 12.9585, 12.9585 Å; angles 15.63, 15.63, 15.63 degrees
With the nearest neighbours (Å) after each atom.
Atoms (fractional coordinates):
1 Ac 0.2129 0.2129 0.2129  3 H 2.82
2 Ac 0.7871 0.7871 0.7871  3 H 2.82
3 Pa 0.0381 0.0381 0.0381  3 H 2.36
4 Pa 0.9619 0.9619 0.9619  3 H 2.36
5 H 0.4028 0.4028 0.4028  3 Pa 2.36
6 H 0.5972 0.5972 0.5972  3 Pa 2.36

Calculated values
As for the space-group type: R-3m, No. 166. The total energy is -5.472 eV/atom.

First-principles (PBE) data for crystalline AcPa2H at its relaxed geometry, as listed in the Alexandria database.

Cell lengths 3.3232, 3.3232, 29.4113 Å; angles 90.00, 90.00, 120.00 degrees
With the nearest neighbours (Å) after each atom.
Atoms (fractional coordinates):
1 Ac 0.0000 0.0000 0.0000  6 Ac 3.32, 2 Pa 3.40
2 Ac 0.3333 0.6667 0.6667  6 Ac 3.32, 2 Pa 3.40
3 Ac 0.6667 0.3333 0.3333  6 Ac 3.32, 2 Pa 3.40
4 Pa 0.0000 0.0000 0.1156  3 H 2.44
5 Pa 0.0000 0.0000 0.8844  3 H 2.44
6 Pa 0.3333 0.6667 0.5511  3 H 2.44
7 Pa 0.3333 0.6667 0.7823  3 H 2.44
8 Pa 0.6667 0.3333 0.2177  3 H 2.44
9 Pa 0.6667 0.3333 0.4489  3 H 2.44
10 H 0.0000 0.0000 0.5000  6 Pa 2.44
11 H 0.3333 0.6667 0.1667  6 Pa 2.44
12 H 0.6667 0.3333 0.8333  6 Pa 2.44

Calculated values
As for the space-group type: R-3m, No. 166. The total energy is -6.311 eV/atom.

First-principles (PBE) data for crystalline Ac2PaH8 at its relaxed geometry, as listed in the Alexandria database.

Cell lengths 6.7671, 6.7671, 6.7671 Å; angles 147.64, 126.57, 63.86 degrees
With the nearest neighbours (Å) after each atom.
Atoms (fractional coordinates):
1 Ac 0.1638 0.1638 0.0000  8 H 2.47-2.54
2 Ac 0.8362 0.8362 0.0000  8 H 2.47-2.54
3 Pa 0.5000 0.5000 0.0000  12 H 2.29-2.52
4 H 0.1080 0.3457 0.7623  1 Pa 2.29, 2 H 2.38, 3 Ac 2.47-2.54
5 H 0.2683 0.0000 0.2683  2 H 2.19, 2 Pa 2.35
6 H 0.3539 0.8539 0.5000  6 H 2.19-2.38
7 H 0.4167 0.6543 0.7623  1 Pa 2.29, 2 H 2.38, 3 Ac 2.47-2.54
8 H 0.5833 0.3457 0.2377  1 Pa 2.29, 2 H 2.38, 3 Ac 2.47-2.54
9 H 0.6461 0.1461 0.5000  6 H 2.19-2.38
10 H 0.7317 0.0000 0.7317  2 H 2.19, 2 Pa 2.35
11 H 0.8920 0.6543 0.2377  1 Pa 2.29, 2 H 2.38, 3 Ac 2.47-2.54

Calculated values
As for the space-group type: Immm, No. 71. The total energy is -4.478 eV/atom.